VAg2O2F2 after structural relaxation, computed with PBE+U.

- E_tot (eV/cell) = -36.2
- M_tot (μB per formula unit) = 0.97

Lattice parameters (Å, degrees): 3.2355 5.4006 6.2727 110.54 90.60 106.09
Closest atoms and distances in Å follow each position.
Space group P-1 (No. 2)
Unique sites:
V (0.0000, 0.0000, 0.0000)  2 O 1.79
Ag (0.3472, 0.7031, 0.4102)  3 O 2.34-2.43, 1 F 2.45
O (0.1008, 0.2028, 0.3006)  1 V 1.79
F (0.3962, 0.7750, 0.0456)  2 V 2.07-2.08